Record 1
A plane-wave DFT calculation with PBE was carried out for an optimized crystal structure of Li2CdPb.

Geometry as CIF:
```
data_Li2CdPb
_cell_length_a 4.7099
_cell_length_b 4.7099
_cell_length_c 8.4068
_cell_angle_alpha 90.00
_cell_angle_beta 90.00
_cell_angle_gamma 120.00
_space_group_name_H-M_alt 'P 63/m m c'
_space_group_IT_number 194
_space_group_name_Hall '-P 6c 2c'
loop_
_atom_site_label
_atom_site_fract_x
_atom_site_fract_y
_atom_site_fract_z
Li1 0.3333 0.6667 0.0857
Cd1 0.0000 0.0000 0.0000
Pb1 0.3333 0.6667 0.7500
```

=====

Record 2
# WN PBE optimized geometry
data_WN
_cell_length_a 5.773
_cell_length_b 2.856
_cell_length_c 4.975
_cell_angle_alpha 90.00
_cell_angle_beta 90.00
_cell_angle_gamma 90.00
_space_group_name_H-M_alt 'P n m a'
_space_group_IT_number 62
_space_group_name_Hall '-P 2ac 2n'
loop_
_atom_site_label
_atom_site_fract_x
_atom_site_fract_y
_atom_site_fract_z
W1 0.000 0.250 0.234
N1 0.237 0.250 0.583
# magnetization: 0.00 Bohr magnetons per cell

=====

Record 3
# IrS3Cl11 PBE optimized geometry
data_IrS3Cl11
_cell_length_a 8.119
_cell_length_b 13.369
_cell_length_c 15.184
_cell_angle_alpha 90.00
_cell_angle_beta 105.54
_cell_angle_gamma 90.00
_space_group_name_H-M_alt 'P 1 21/c 1'
_space_group_IT_number 14
_space_group_name_Hall '-P 2ybc'
loop_
_atom_site_label
_atom_site_fract_x
_atom_site_fract_y
_atom_site_fract_z
Ir1 0.101 0.091 0.304
S1 0.074 0.520 0.121
S2 0.124 0.548 0.728
S3 0.386 0.232 0.940
Cl1 0.033 0.237 0.382
Cl2 0.055 0.133 0.630
Cl3 0.110 0.640 0.329
Cl4 0.175 0.514 0.606
Cl5 0.316 0.184 0.259
Cl6 0.318 0.058 0.442
Cl7 0.326 0.545 0.184
Cl8 0.341 0.627 0.789
Cl9 0.353 0.085 0.896
Cl10 0.354 0.746 0.538
Cl11 0.373 0.211 0.072
# magnetization: 0.02 Bohr magnetons per cell

=====

Record 4
A plane-wave DFT calculation with PBE was carried out for an optimized crystal structure of AlPdO2.

Geometry as CIF:
```
data_AlPdO2
_cell_length_a 2.8462
_cell_length_b 2.8462
_cell_length_c 17.9666
_cell_angle_alpha 90.00
_cell_angle_beta 90.00
_cell_angle_gamma 120.00
_space_group_name_H-M_alt 'R -3 m'
_space_group_IT_number 166
_space_group_name_Hall '-R 3 2"'
loop_
_atom_site_label
_atom_site_fract_x
_atom_site_fract_y
_atom_site_fract_z
Al1 0.0000 0.0000 0.0000
Pd1 0.0000 0.0000 0.5000
O1 0.0000 0.0000 0.3867
```

=====

Record 5
# PaPdNO PBE optimized geometry
data_PaPdNO
_cell_length_a 5.564
_cell_length_b 7.900
_cell_length_c 4.997
_cell_angle_alpha 90.00
_cell_angle_beta 90.00
_cell_angle_gamma 90.00
_space_group_name_H-M_alt 'P c a 21'
_space_group_IT_number 29
_space_group_name_Hall 'P 2c -2ac'
loop_
_atom_site_label
_atom_site_fract_x
_atom_site_fract_y
_atom_site_fract_z
Pa1 0.032 0.180 0.000
Pd1 0.137 0.544 0.007
N1 0.105 0.269 0.506
O1 0.249 0.970 0.752
# magnetization: 0.00 Bohr magnetons per cell

=====

Record 6
# GaB4W PBE optimized geometry
data_GaB4W
_cell_length_a 2.977
_cell_length_b 5.285
_cell_length_c 6.934
_cell_angle_alpha 90.00
_cell_angle_beta 90.00
_cell_angle_gamma 90.00
_space_group_name_H-M_alt 'I m m m'
_space_group_IT_number 71
_space_group_name_Hall '-I 2 2'
loop_
_atom_site_label
_atom_site_fract_x
_atom_site_fract_y
_atom_site_fract_z
Ga1 0.000 0.000 0.000
B1 0.000 0.337 0.255
W1 0.000 0.000 0.500
# magnetization: 0.00 Bohr magnetons per cell

=====

| no. | calculated total energy (eV/atom) |
| --- | --- |
| 1 | -2.300 |
| 2 | -10.820 |
| 3 | -3.053 |
| 4 | -6.700 |
| 5 | -8.121 |
| 6 | -6.962 |